## CoCu3O (GGA+U)

Data for a relaxed CoCu3O crystal.

- magnetization (Bohr magnetons per cell) = 2.142
- energy above the lowest structure with this stoichiometry (meV/atom) = 0
- space-group type = No. 221

a = 3.9878 Å, b = 3.9878 Å, c = 3.9878 Å
α = 90.00°, β = 90.00°, γ = 90.00°
Last column: nearest neighbours and their distance in Å.
Positions (direct):
Co (0.0000, 0.0000, 0.0000)  12 Cu 2.82
Cu (0.0000, 0.5000, 0.5000)  2 O 1.99
Cu (0.5000, 0.0000, 0.5000)  2 O 1.99
Cu (0.5000, 0.5000, 0.0000)  2 O 1.99
O (0.5000, 0.5000, 0.5000)  6 Cu 1.99